The following is a DFT calculation (PBE) of a relaxed structure of Tl2SnSe2.

Properties
- symmetry = I4/mmm (139)
- relative energy among the computed polymorphs (eV/f.u.) = 1.77
- E_form (uncorrected) (eV/atom) = -0.031
- magnetization (μB/f.u.) = 0.0

Cell: 4.2940 4.2940 15.9110 Å, 90.00 90.00 90.00°
Sites, in units of the cell vectors:
Tl1 0.0000 0.5000 0.2500
Tl2 0.0000 0.5000 0.7500
Tl3 0.5000 0.0000 0.2500
Tl4 0.5000 0.0000 0.7500
Sn1 0.0000 0.0000 0.0000
Sn2 0.5000 0.5000 0.5000
Se1 0.0000 0.0000 0.4094
Se2 0.0000 0.0000 0.5906
Se3 0.5000 0.5000 0.0906
Se4 0.5000 0.5000 0.9094

The following is a DFT calculation (PBE) of a relaxed structure of AcTbZn2Pd2.

Properties
- symmetry = P-3m1 (164)
- E_tot (eV/atom) = -4.30
- magnetization (μB/f.u.) = 0.0

Cell: 4.5523 4.5523 7.4614 Å, 90.00 90.00 120.00°
Sites, in units of the cell vectors:
Ac1 0.0000 0.0000 0.0000
Tb1 0.0000 0.0000 0.5000
Zn1 0.3333 0.6667 0.2906
Zn2 0.6667 0.3333 0.7094
Pd1 0.3333 0.6667 0.7125
Pd2 0.6667 0.3333 0.2875

The following is a DFT calculation (PBE) of a relaxed structure of K2SiCl.

Properties
- symmetry = Fm-3m (225)
- relative energy among the computed polymorphs (eV/f.u.) = 0.92
- E_form (uncorrected) (eV/atom) = -0.314
- magnetization (μB/f.u.) = 3.0

Cell: 8.1662 8.1662 8.1662 Å, 90.00 90.00 90.00°
Sites, in units of the cell vectors:
K1 0.2500 0.2500 0.2500
K2 0.2500 0.2500 0.7500
K3 0.2500 0.7500 0.2500
K4 0.2500 0.7500 0.7500
K5 0.7500 0.2500 0.2500
K6 0.7500 0.2500 0.7500
K7 0.7500 0.7500 0.2500
K8 0.7500 0.7500 0.7500
Si1 0.0000 0.0000 0.0000
Si2 0.0000 0.5000 0.5000
Si3 0.5000 0.0000 0.5000
Si4 0.5000 0.5000 0.0000
Cl1 0.0000 0.0000 0.5000
Cl2 0.0000 0.5000 0.0000
Cl3 0.5000 0.0000 0.0000
Cl4 0.5000 0.5000 0.5000

The following is a DFT calculation (PBE) of a relaxed structure of SmBr2.

Properties
- symmetry = Pnma (62)
- E_form (uncorrected) (eV/atom) = -1.641
- magnetization (μB/f.u.) = 0.9

Cell: 7.0832 3.9466 15.2725 Å, 90.00 90.00 90.00°
Sites, in units of the cell vectors:
Sm1 0.2123 0.2500 0.0023
Sm2 0.2877 0.7500 0.5023
Sm3 0.7123 0.2500 0.4977
Sm4 0.7877 0.7500 0.9977
Br1 0.0763 0.2500 0.3939
Br2 0.0859 0.7500 0.1356
Br3 0.4141 0.2500 0.6356
Br4 0.4237 0.7500 0.8939
Br5 0.5763 0.2500 0.1061
Br6 0.5859 0.7500 0.3644
Br7 0.9141 0.2500 0.8644
Br8 0.9237 0.7500 0.6061

The following is a DFT calculation (PBE) of a relaxed structure of CaAlSe2.

Properties
- symmetry = P4/mmm (123)
- E_form (uncorrected) (eV/atom) = -0.793
- magnetization (μB/f.u.) = 0.0

Cell: 3.5452 3.5452 6.9848 Å, 90.00 90.00 90.00°
Sites, in units of the cell vectors:
Ca1 0.0000 0.0000 0.0000
Al1 0.0000 0.0000 0.5000
Se1 0.5000 0.5000 0.2600
Se2 0.5000 0.5000 0.7400

The following is a DFT calculation (PBE) of a relaxed structure of LiThGaHg.

Properties
- symmetry = F-43m (216)
- E_tot (eV/atom) = -3.47
- magnetization (μB/f.u.) = 0.0

Cell: 7.1915 7.1915 7.1915 Å, 90.00 90.00 90.00°
Sites, in units of the cell vectors:
Li1 0.0000 0.0000 0.0000
Li2 0.0000 0.5000 0.5000
Li3 0.5000 0.0000 0.5000
Li4 0.5000 0.5000 0.0000
Th1 0.0000 0.0000 0.5000
Th2 0.0000 0.5000 0.0000
Th3 0.5000 0.0000 0.0000
Th4 0.5000 0.5000 0.5000
Ga1 0.2500 0.2500 0.2500
Ga2 0.2500 0.7500 0.7500
Ga3 0.7500 0.2500 0.7500
Ga4 0.7500 0.7500 0.2500
Hg1 0.2500 0.2500 0.7500
Hg2 0.2500 0.7500 0.2500
Hg3 0.7500 0.2500 0.2500
Hg4 0.7500 0.7500 0.7500